MgSbSe2 | GGA-PBE | optimized geometry

Cell: 3.7038 3.7034 7.5296 Å, 103.23 90.00 90.00°
Fractional positions:
Mg: 0.5000 0.2500 0.2500
Se: 0.0000 0.7955 0.0427
Se: 0.0000 0.7045 0.4573
Sb: 0.5000 0.7500 0.7500

Output
magnetic moment: 0.00 μB per formula unit
space-group type: P2/m
E_form (uncorrected): -41.7 kJ per mole of atoms
calculated total energy: -3.60 eV/atom
distance to the lowest polymorph of the same formula: 0.43 eV per formula unit

MgSb2Se2 | GGA-PBE | optimized geometry

Cell: 7.0136 7.0136 5.5034 Å, 90.00 90.00 90.00°
Fractional positions:
Se: 0.8264 0.6736 0.0000
Se: 0.3264 0.8264 0.0000
Se: 0.6736 0.1736 0.0000
Se: 0.1736 0.3264 0.0000
Mg: 0.5000 0.5000 0.0000
Mg: 0.0000 0.0000 0.0000
Sb: 0.2611 0.7611 0.5000
Sb: 0.2389 0.2611 0.5000
Sb: 0.7611 0.7389 0.5000
Sb: 0.7389 0.2389 0.5000

Output
magnetic moment: 0.00 μB per formula unit
space-group type: P4/mbm
E_form (uncorrected): -21.6 kJ per mole of atoms
calculated total energy: -3.59 eV/atom

MgSb3Se | GGA-PBE | optimized geometry

Cell: 5.4245 5.4245 5.4245 Å, 90.00 90.00 90.00°
Fractional positions:
Sb: 0.0000 0.0000 0.5000
Sb: 0.5000 0.0000 0.0000
Sb: 0.0000 0.5000 0.0000
Se: 0.0000 0.0000 0.0000
Mg: 0.5000 0.5000 0.5000

Output
magnetic moment: 0.00 μB per formula unit
space-group type: Pm-3m
E_form (uncorrected): 51.8 kJ per mole of atoms
calculated total energy: -2.95 eV/atom
distance to the lowest polymorph of the same formula: 0.00 eV per formula unit

MgSbSe2 | GGA-PBE | optimized geometry

Cell: 8.4970 8.4970 8.4970 Å, 26.73 26.73 26.73°
Fractional positions:
Sb: 0.0000 0.0000 0.0000
Se: 0.1085 0.1085 0.1085
Se: 0.8915 0.8915 0.8915
Mg: 0.5000 0.5000 0.5000

Output
magnetic moment: 0.00 μB per formula unit
space-group type: R-3m
E_form (uncorrected): -37.4 kJ per mole of atoms
calculated total energy: -3.56 eV/atom
distance to the lowest polymorph of the same formula: 0.61 eV per formula unit

MgSbSe2 | GGA-PBE | optimized geometry

Cell: 5.8362 5.8362 8.3745 Å, 69.61 69.61 90.00°
Fractional positions:
Se: 0.3750 0.4014 0.7500
Se: 0.5986 0.1250 0.2500
Se: 0.8750 0.8486 0.7500
Se: 0.1514 0.6250 0.2500
Mg: 0.5000 0.5000 0.0000
Mg: 0.2500 0.7500 0.5000
Sb: 0.7500 0.2500 0.5000
Sb: 0.0000 0.0000 0.0000

Output
magnetic moment: 0.00 μB per formula unit
space-group type: I-42d
E_form (uncorrected): -36.6 kJ per mole of atoms
calculated total energy: -3.55 eV/atom
distance to the lowest polymorph of the same formula: 0.65 eV per formula unit

MgSb2Se | GGA-PBE | optimized geometry

Cell: 8.7206 8.7206 8.7206 Å, 24.77 24.77 24.77°
Fractional positions:
Sb: 0.4970 0.4970 0.4970
Sb: 0.0030 0.0030 0.0030
Se: 0.7500 0.7500 0.7500
Mg: 0.2500 0.2500 0.2500

Output
magnetic moment: 0.00 μB per formula unit
space-group type: R-3m
E_form (uncorrected): 3.6 kJ per mole of atoms
calculated total energy: -3.29 eV/atom
distance to the lowest polymorph of the same formula: 1.51 eV per formula unit

MgSbSe2 | GGA-PBE | optimized geometry

Cell: 4.6950 5.3127 5.2855 Å, 64.77 90.00 90.00°
Fractional positions:
Mg: 0.0000 0.4398 0.4416
Se: 0.5000 0.3166 0.3147
Se: 0.0000 0.9480 0.9489
Sb: 0.5000 0.7956 0.7948

Output
magnetic moment: 0.00 μB per formula unit
space-group type: Pm
E_form (uncorrected): -42.3 kJ per mole of atoms
calculated total energy: -3.61 eV/atom
distance to the lowest polymorph of the same formula: 0.41 eV per formula unit

Mg4Sb2Se | GGA-PBE | optimized geometry

Cell: 5.0163 5.0163 8.1592 Å, 72.10 72.10 90.00°
Fractional positions:
Mg: 0.1811 0.1811 0.6378
Mg: 0.5000 0.0000 0.0000
Mg: 0.0000 0.5000 0.0000
Mg: 0.8189 0.8189 0.3622
Sb: 0.6319 0.6319 0.7362
Sb: 0.3681 0.3681 0.2638
Se: 0.0000 0.0000 0.0000

Output
magnetic moment: 0.00 μB per formula unit
space-group type: I4/mmm
E_form (uncorrected): -35.5 kJ per mole of atoms
calculated total energy: -2.95 eV/atom